This record from the Alexandria database describes a geometry-optimized PmCuGe2Rh structure. The functional is PBE-GGA.

The space group is I-4m2 (No. 119) and the conventional cell measures 4.1940, 4.1940 and 10.2998 Å, with angles of 90.00, 90.00 and 90.00 degrees. The asymmetric unit holds Pm at (0.0000, 0.0000, 0.0000), Cu at (0.0000, 0.5000, 0.7500), Ge at (0.0000, 0.0000, 0.3771) and Rh at (0.0000, 0.5000, 0.2500).

The formation energy comes out at -0.6643 eV per atom. The calculated volume is 18.12 Å³ per atom.

---

This record from the Alexandria database describes a geometry-optimized InAgS6 structure. The functional is PBE-GGA.

The space group is P-1 (No. 2) and the conventional cell measures 4.0068, 7.2752 and 8.4427 Å, with angles of 106.84, 99.66 and 103.20 degrees. The asymmetric unit holds In at (0.0000, 0.0000, 0.0000), Ag at (0.0000, 0.5000, 0.0000), S at (0.1671, 0.4403, 0.5776), S at (0.2981, 0.2434, 0.4124) and S at (0.3996, 0.8294, 0.1049).

The calculated volume is 27.75 Å³ per atom. As for the uncorrected formation energy: 0.008 eV per atom.

---

This record from the Alexandria database describes a geometry-optimized AcLuCuNi structure. The functional is PBE-GGA.

The space group is F-43m (No. 216) and the conventional cell measures 7.1183, 7.1183 and 7.1183 Å, with angles of 90.00, 90.00 and 90.00 degrees. The asymmetric unit holds Ac at (0.0000, 0.0000, 0.0000), Lu at (0.0000, 0.0000, 0.5000), Cu at (0.2500, 0.2500, 0.7500) and Ni at (0.2500, 0.2500, 0.2500).

The formation energy comes out at -0.1704 eV per atom. The calculated volume is 22.54 Å³ per atom.

---

| no. | E (eV per atom) | spin magnetization (μB/atom) |
| --- | --- | --- |
| 1 | -5.75 | 0.00 |
| 2 | -3.79 | 0.00 |
| 3 | -4.80 | 0.00 |